DFT (PBE) results for AcMgGe2Au5 after structural relaxation.

The structure in CIF format:
```
data_AcMgGe2Au5
_chemical_formula_sum 'Ac1 Mg1 Ge2 Au5'
_cell_length_a 4.705
_cell_length_b 4.705
_cell_length_c 9.714
_cell_angle_alpha 90.00
_cell_angle_beta 90.00
_cell_angle_gamma 90.00
_space_group_name_H-M_alt 'P 4/m m m'
_space_group_IT_number 123
_space_group_name_Hall '-P 4 2'
loop_
_atom_site_label
_atom_site_type_symbol
_atom_site_fract_x
_atom_site_fract_y
_atom_site_fract_z
_atom_site_occupancy
Ac1 Ac 0.000 0.000 0.000 1
Mg1 Mg 0.000 0.000 0.500 1
Ge1 Ge 0.500 0.500 0.252 1
Au1 Au 0.000 0.500 0.344 1
Au2 Au 0.500 0.500 0.000 1
```

Calculated values
Energy relative to the elements ... -0.3108 eV/atom
Total magnetic moment ... 0.0 Bohr magnetons per cell